Record 1
## ThNi2Rh (PBE)

Data for an optimized crystal structure of ThNi2Rh.

## Properties
Its final energy is -6.94 eV/atom. As for the total magnetization: 0.51 Bohr magnetons per cell. Its calculated density is 10.74 Mg/m³. For the energy relative to the elements, the calculation gives -0.3600 eV per atom.

Unit cell a=4.7972 b=4.5796 c=12.7389 alpha=90.00 beta=90.00 gamma=90.00
Space group Pmma (No. 51)
Symmetry-distinct sites (fractional):
Th  0.2500  0.0000  0.1006 x2
Th  0.2500  0.5000  0.3328 x2
Ni  0.0000  0.0000  0.5000 x2
Ni  0.0000  0.5000  0.0000 x2
Ni  0.2500  0.2575  0.8521 x4
Rh  0.2500  0.0000  0.6823 x2
Rh  0.2500  0.5000  0.5558 x2

Record 2
## Na2NbNO (PBE)

Data for an optimized crystal structure of Na2NbNO.

## Properties
Its final energy is -5.15 eV/atom. As for the total magnetization: 1.97 Bohr magnetons per cell. As for the distance to the lowest polymorph of the same formula: 0 kJ/mol of formula units. Its calculated density is 3.91 Mg/m³.

Unit cell a=4.1365 b=4.1365 c=4.1960 alpha=90.00 beta=90.00 gamma=90.00
Space group P4/mmm (No. 123)
Symmetry-distinct sites (fractional):
Na  0.0000  0.5000  0.0000 x2
Nb  0.0000  0.0000  0.5000 x1
N  0.5000  0.5000  0.5000 x1
O  0.0000  0.0000  0.0000 x1

Record 3
## La5Tb4Hg4 (PBE)

Data for an optimized crystal structure of La5Tb4Hg4.

## Properties
Its final energy is -3.72 eV/atom. As for the total magnetization: 0.00 Bohr magnetons per cell. Its calculated density is 8.65 Mg/m³. For the energy relative to the elements, the calculation gives -0.3102 eV per atom.

Unit cell a=12.5085 b=12.5085 c=5.2313 alpha=90.00 beta=90.00 gamma=90.00
Space group I4/m (No. 87)
Symmetry-distinct sites (fractional):
La  0.0000  0.0000  0.0000 x2
La  0.1223  0.8124  0.5000 x8
Tb  0.0955  0.6013  0.0000 x8
Hg  0.0891  0.2444  0.0000 x8

Record 4
## Pa2SCl (PBE)

Data for an optimized crystal structure of Pa2SCl.

## Properties
Its final energy is -7.37 eV/atom. As for the total magnetization: 0.00 Bohr magnetons per cell. As for the distance to the lowest polymorph of the same formula: 0 kJ/mol of formula units. Its calculated density is 10.30 Mg/m³.

Unit cell a=3.5042 b=3.5042 c=24.0939 alpha=90.00 beta=90.00 gamma=120.00
Space group R-3m (No. 166, hexagonal axes)
Symmetry-distinct sites (fractional):
Pa  0.0000  0.0000  0.2426 x6
S  0.0000  0.0000  0.5000 x3
Cl  0.0000  0.0000  0.0000 x3

Record 5
## NaDy2Cd (PBE)

Data for an optimized crystal structure of NaDy2Cd.

## Properties
Its final energy is -2.82 eV/atom. As for the total magnetization: 0.02 Bohr magnetons per cell. As for the distance to the lowest polymorph of the same formula: 0 kJ/mol of formula units. Its calculated density is 6.40 Mg/m³. For the energy relative to the elements, the calculation gives 0.0354 eV per atom.

Unit cell a=3.7515 b=3.7515 c=8.4831 alpha=90.00 beta=90.00 gamma=90.00
Space group P4/mmm (No. 123)
Symmetry-distinct sites (fractional):
Na  0.0000  0.0000  0.0000 x1
Dy  0.5000  0.5000  0.2897 x2
Cd  0.0000  0.0000  0.5000 x1

Record 6
## TlMo2Pb (PBE)

Data for an optimized crystal structure of TlMo2Pb.

## Properties
Its final energy is -6.03 eV/atom. As for the total magnetization: 0.00 Bohr magnetons per cell. As for the distance to the lowest polymorph of the same formula: 191 kJ/mol of formula units. Its calculated density is 12.50 Mg/m³. For the energy relative to the elements, the calculation gives 0.9057 eV per atom.

Unit cell a=3.3851 b=4.6654 c=5.0770 alpha=90.00 beta=90.00 gamma=90.00
Space group Pmmm (No. 47)
Symmetry-distinct sites (fractional):
Tl  0.0000  0.0000  0.0000 x1
Mo  0.0000  0.5000  0.5000 x1
Mo  0.5000  0.5000  0.0000 x1
Pb  0.5000  0.0000  0.5000 x1

Record 7
## La3Pr2Dy4 (PBE)

Data for an optimized crystal structure of La3Pr2Dy4.

## Properties
Its final energy is -4.67 eV/atom. As for the total magnetization: 0.00 Bohr magnetons per cell. As for the distance to the lowest polymorph of the same formula: 0 kJ/mol of formula units. Its calculated density is 7.15 Mg/m³. For the energy relative to the elements, the calculation gives 0.0840 eV per atom.

Unit cell a=11.7747 b=5.8446 c=9.3249 alpha=90.00 beta=102.68 gamma=90.00
Space group C2/m (No. 12)
Symmetry-distinct sites (fractional):
La  0.0000  0.0000  0.0000 x2
La  0.1220  0.0000  0.6922 x4
Pr  0.0657  0.5000  0.3002 x4
Dy  0.1780  0.5000  0.9614 x4
Dy  0.2281  0.0000  0.3676 x4

Record 8
## CuAsCl2 (PBE)

Data for an optimized crystal structure of CuAsCl2.

## Properties
Its final energy is -3.40 eV/atom. As for the total magnetization: 0.00 Bohr magnetons per cell. As for the distance to the lowest polymorph of the same formula: 25 kJ/mol of formula units. Its calculated density is 3.25 Mg/m³.

Unit cell a=3.3421 b=4.9686 c=12.8960 alpha=90.00 beta=90.00 gamma=90.00
Space group Imm2 (No. 44)
Symmetry-distinct sites (fractional):
Cu  0.0000  0.0000  0.0000 x2
As  0.0000  0.5000  0.6346 x2
Cl  0.0000  0.0000  0.6022 x2
Cl  0.0000  0.5000  0.3823 x2

Record 9
## Ag3PbN (PBE)

Data for an optimized crystal structure of Ag3PbN.

## Properties
Its final energy is -2.52 eV/atom. As for the total magnetization: 2.92 Bohr magnetons per cell. As for the distance to the lowest polymorph of the same formula: 477 kJ/mol of formula units. Its calculated density is 5.51 Mg/m³.

Unit cell a=5.4746 b=5.4746 c=5.4746 alpha=90.00 beta=90.00 gamma=90.00
Space group Pm-3m (No. 221)
Symmetry-distinct sites (fractional):
Ag  0.0000  0.0000  0.5000 x3
Pb  0.0000  0.0000  0.0000 x1
N  0.5000  0.5000  0.5000 x1

Record 10
## Ti3PtC (PBE)

Data for an optimized crystal structure of Ti3PtC.

## Properties
Its final energy is -8.55 eV/atom. As for the total magnetization: 0.00 Bohr magnetons per cell. As for the distance to the lowest polymorph of the same formula: 31 kJ/mol of formula units. Its calculated density is 8.16 Mg/m³. For the energy relative to the elements, the calculation gives -0.7596 eV per atom.

Unit cell a=4.1479 b=4.1479 c=4.1479 alpha=90.00 beta=90.00 gamma=90.00
Space group Pm-3m (No. 221)
Symmetry-distinct sites (fractional):
Ti  0.0000  0.0000  0.5000 x3
Pt  0.5000  0.5000  0.5000 x1
C  0.0000  0.0000  0.0000 x1

Record 11
## ErTm4Mg (PBE)

Data for an optimized crystal structure of ErTm4Mg.

## Properties
Its final energy is -3.97 eV/atom. As for the total magnetization: 0.01 Bohr magnetons per cell. As for the distance to the lowest polymorph of the same formula: 24 kJ/mol of formula units. Its calculated density is 8.28 Mg/m³. For the energy relative to the elements, the calculation gives 0.0355 eV per atom.

Unit cell a=10.3751 b=6.0236 c=11.6605 alpha=90.00 beta=107.30 gamma=90.00
Space group C2/c (No. 15)
Symmetry-distinct sites (fractional):
Er  0.2500  0.2500  0.0000 x4
Tm  0.0823  0.2479  0.5002 x8
Tm  0.1666  0.4176  0.2503 x8
Mg  0.0000  0.0827  0.7500 x4

Record 12
## Cs3BiSe3 (PBE)

Data for an optimized crystal structure of Cs3BiSe3.

## Properties
Its final energy is -3.39 eV/atom. As for the total magnetization: 0.00 Bohr magnetons per cell. Its calculated density is 4.38 Mg/m³.

Unit cell a=10.8575 b=10.8575 c=10.8575 alpha=90.00 beta=90.00 gamma=90.00
Space group P2_13 (No. 198)
Symmetry-distinct sites (fractional):
Cs  0.0722  0.0722  0.0722 x4
Cs  0.1815  0.3185  0.6815 x4
Cs  0.1903  0.6903  0.8097 x4
Bi  0.0245  0.9755  0.4755 x4
Se  0.0033  0.2104  0.3989 x12

Look up the total magnetization of the tenth one.
0.00 Bohr magnetons per cell

Among the records above, which one has the highest final energy?
Ag3PbN